VASP calculation (PBE) on crystalline KZrAl at its relaxed geometry.

Results
* space-group type: C2/m
* ΔH_f (0 K): 0.122 eV per atom

a = 4.7738 Å, b = 11.9015 Å, c = 4.7754 Å
α = 101.61°, β = 60.00°, γ = 89.67°
Closest atoms and distances in Å follow each position.
Sites, in units of the cell vectors:
Al 0.9784 0.8136 0.2298  1 Al 2.55
Al 0.9002 0.0345 0.3794  1 Al 2.55
Zr 0.6049 0.9269 0.9731  3 Zr 2.76, 6 Al 3.02-3.05
Zr 0.2737 0.9212 0.6360  3 Zr 2.76, 6 Al 3.02-3.05
K 0.7188 0.6066 0.7559  3 Al 3.65, 1 Zr 3.70
K 0.1600 0.2416 0.8536  3 Al 3.65, 1 Zr 3.71

***

VASP calculation (PBE) on crystalline KZr2Al at its relaxed geometry.

Results
* space-group type: P4/mmm
* ΔH_f (0 K): 0.197 eV per atom

a = 3.0988 Å, b = 3.0989 Å, c = 10.8783 Å
α = 90.00°, β = 90.00°, γ = 90.04°
Closest atoms and distances in Å follow each position.
Sites, in units of the cell vectors:
Zr 0.0000 0.0000 0.0708  4 Al 2.93, 4 Zr 3.10
Zr 0.0000 0.0000 0.4292  4 Al 2.93, 4 Zr 3.10
Al 0.5000 0.5000 0.2500  8 Zr 2.93, 4 Al 3.10
K 0.5000 0.5000 0.7500  4 K 3.10

***

VASP calculation (PBE) on crystalline KZr2Al at its relaxed geometry.

Results
* space-group type: C2/m
* ΔH_f (0 K): 0.619 eV per atom

a = 6.1137 Å, b = 6.3750 Å, c = 2.9321 Å
α = 78.84°, β = 85.65°, γ = 117.52°
Closest atoms and distances in Å follow each position.
Sites, in units of the cell vectors:
Zr 0.5000 0.0000 0.5000  2 Zr 2.93, 2 Al 3.24, 2 K 3.24
Zr 0.0000 0.0000 0.0000  2 Zr 2.93, 2 K 3.24, 2 Al 3.24
Al 0.0000 0.5000 0.5000  2 Al 2.93, 4 Zr 3.24
K 0.5000 0.5000 0.0000  2 K 2.93, 4 Zr 3.24

***

VASP calculation (PBE) on crystalline KZrAl at its relaxed geometry.

Results
* space-group type: Pm
* ΔH_f (0 K): 0.322 eV per atom

a = 5.6589 Å, b = 4.8809 Å, c = 7.4329 Å
α = 90.00°, β = 112.09°, γ = 90.00°
Closest atoms and distances in Å follow each position.
Sites, in units of the cell vectors:
Al 0.1641 0.5000 0.8625  4 Zr 2.80-3.05, 2 Al 2.86
Al 0.4280 0.0000 0.8628  4 Zr 2.80-3.05, 2 Al 2.86
Zr 0.7410 0.5000 0.9708  2 Zr 2.73, 4 Al 2.80-3.05
Zr 0.9582 0.0000 0.9711  2 Zr 2.73, 4 Al 2.80-3.05
K 0.3542 0.5000 0.4369  4 K 3.57-3.91, 4 Al 3.70-3.99, 2 Zr 3.74-3.87
K 0.8159 0.0000 0.4405  4 K 3.57-3.91, 3 Al 3.70-3.88, 2 Zr 3.72-3.86

***

VASP calculation (PBE) on crystalline KZrAl at its relaxed geometry.

Results
* space-group type: F-43m
* ΔH_f (0 K): 0.985 eV per atom

a = 5.1048 Å, b = 5.1048 Å, c = 5.1048 Å
α = 60.00°, β = 60.00°, γ = 60.00°
Closest atoms and distances in Å follow each position.
Sites, in units of the cell vectors:
Al 0.0000 0.0000 0.0000  4 Zr 3.13, 4 K 3.13
Zr 0.7500 0.7500 0.7500  4 Al 3.13
K 0.2500 0.2500 0.2500  4 Al 3.13

***

VASP calculation (PBE) on crystalline KZrAl at its relaxed geometry.

Results
* space-group type: P-3m1
* ΔH_f (0 K): 0.122 eV per atom

a = 14.2201 Å, b = 4.7752 Å, c = 4.7752 Å
α = 120.03°, β = 120.28°, γ = 59.72°
Closest atoms and distances in Å follow each position.
Sites, in units of the cell vectors:
Zr 0.0028 0.8305 0.1695  3 Zr 2.76, 6 Al 3.02-3.05
Zr 0.9972 0.1695 0.8305  3 Zr 2.76, 6 Al 3.02-3.05
Al 0.8895 0.6106 0.3894  1 Al 2.55
Al 0.1105 0.3894 0.6106  1 Al 2.55
K 0.3179 0.8486 0.1514  3 Al 3.65, 1 Zr 3.71
K 0.6821 0.1514 0.8486  3 Al 3.65, 1 Zr 3.71

***

Quick rundown of spin magnetization, same order as above: 0.00; 0.00; 0.00; 0.00; 0.00; 0.00 Bohr magnetons per cell